CaSm2GeN4: relaxed, PBE.

POSCAR file:
```
CaSm2GeN4
1.0
-0.830 -3.276 0.700
4.155 -0.230 -4.657
8.966 -0.558 8.028
Ge N Sm Ca
2 8 4 2
Cartesian
3.546 -0.791 0.505
8.745 -3.273 3.566
9.868 -1.988 2.401
3.116 -1.060 -1.266
9.175 -3.003 5.337
0.000 0.000 0.000
2.423 -2.075 1.670
5.330 -1.198 0.716
6.961 -2.866 3.354
4.483 -0.279 4.014
0.909 -2.147 -0.459
4.693 -2.382 2.928
7.598 -1.682 1.142
11.382 -1.917 4.530
4.814 -3.269 -1.083
7.477 -0.794 5.154
```

Summary:
The theoretical density comes out at 6.2 g/cm³. The volume is 249.6 Å³/cell. The energy relative to the elements, uncorrected is -0.92 eV per atom.